The following is a DFT calculation (PBE) of a geometry-optimized MnAl2Se structure.

Structure (POSCAR):
```
MnAl2Se
1.0
2.912 0.000 0.000
0.000 2.912 0.000
0.000 0.000 7.494
Mn Al Se
1 2 1
Direct
0.000 0.000 0.000 Mn
0.000 0.000 0.522 Al
0.500 0.500 0.785 Al
0.500 0.500 0.170 Se
```

Summary:
- calculated total energy (eV for the cell shown) = -20.3
- volume (A^3/atom) = 15.89
- D(E_F) (states/eV per atom) = 0.49
- space group = P4mm, No. 99
- crystal system = tetragonal
- mass density (g/cm³) = 4.909
- formation energy (no corrections) (kcal/mol of atoms) = -0.8